A PBEsol-optimized structure of Fe2WAuC. Source: the Alexandria database, functional SCAN.

The space group is P4/mmm (No. 123) and the conventional cell measures 4.709, 4.709 and 3.682 Å, with angles of 90.00, 90.00 and 90.00 degrees. Symmetry generates all atoms from Fe at (0.000, 0.500, 0.000), W at (0.000, 0.000, 0.500), Au at (0.500, 0.500, 0.000) and C at (0.500, 0.500, 0.500).

As for the formation energy: 2.059 eV per atom.